No. 1
VASP calculation (SCAN) on Mn3O2F4 at its PBEsol-relaxed geometry.

Cell and atoms, written as POSCAR:
```
Mn3O2F4
1.0
5.5781 0.0000 0.0000
1.7956 5.3898 0.0000
2.0287 1.5353 6.7826
Mn O F
6 4 8
direct
0.0000 0.0000 0.0000 Mn
0.0000 0.0000 0.5000 Mn
0.2940 0.3288 0.1609 Mn
0.3084 0.3679 0.6841 Mn
0.6916 0.6321 0.3159 Mn
0.7060 0.6712 0.8391 Mn
0.0311 0.6683 0.6683 O
0.2022 0.2412 0.9631 O
0.7978 0.7588 0.0369 O
0.9689 0.3317 0.3317 O
0.0763 0.1181 0.6995 F
0.3353 0.7092 0.9848 F
0.3895 0.9372 0.3346 F
0.4038 0.4259 0.3742 F
0.5962 0.5741 0.6258 F
0.6105 0.0628 0.6654 F
0.6647 0.2908 0.0152 F
0.9237 0.8819 0.3005 F
```

excess energy over the best structure of this formula in the dataset = 0.0 kJ per mole of atoms
formation energy from raw total energies = -2.60 eV per atom

=====

No. 2
VASP calculation (SCAN) on K2CaFe at its PBEsol-relaxed geometry.

Cell and atoms, written as POSCAR:
```
K2CaFe
1.0
3.3304 -6.0350 0.0000
3.3304 6.0350 0.0000
0.0000 0.0000 3.7861
K Ca Fe
2 1 1
direct
0.0000 0.5000 0.0000 K
0.5000 0.0000 0.0000 K
0.0000 0.0000 0.5000 Ca
0.5000 0.5000 0.5000 Fe
```

E_form = 0.815 eV per atom

=====

No. 3
VASP calculation (SCAN) on Ce2YSi2 at its PBEsol-relaxed geometry.

Cell and atoms, written as POSCAR:
```
Ce2YSi2
1.0
7.4463 0.0000 0.0000
0.0000 7.4463 0.0000
0.0000 0.0000 4.2331
Ce Y Si
4 2 4
direct
0.1782 0.3218 0.0000 Ce
0.3218 0.8218 0.0000 Ce
0.6782 0.1782 0.0000 Ce
0.8218 0.6782 0.0000 Ce
0.0000 0.0000 0.5000 Y
0.5000 0.5000 0.5000 Y
0.1162 0.6162 0.5000 Si
0.3838 0.1162 0.5000 Si
0.6162 0.8838 0.5000 Si
0.8838 0.3838 0.5000 Si
```

formation energy from raw total energies = -0.64 eV per atom

=====

No. 4
VASP calculation (SCAN) on SrTaTe2 at its PBEsol-relaxed geometry.

Cell and atoms, written as POSCAR:
```
SrTaTe2
1.0
2.1535 1.2433 6.8380
-2.1535 1.2433 6.8380
0.0000 -2.4866 6.8380
Sr Ta Te
1 1 2
direct
0.0000 0.0000 0.0000 Sr
0.5000 0.5000 0.5000 Ta
0.2343 0.2343 0.2343 Te
0.7657 0.7657 0.7657 Te
```

excess energy over the best structure of this formula in the dataset = 0.0 kJ per mole of atoms
formation energy from raw total energies = -0.56 eV per atom

=====

No. 5
VASP calculation (SCAN) on LiMoPt2 at its PBEsol-relaxed geometry.

Cell and atoms, written as POSCAR:
```
LiMoPt2
1.0
3.2949 0.0000 0.0000
0.0000 3.2949 0.0000
0.0000 0.0000 5.3057
Li Mo Pt
1 1 2
direct
0.0000 0.0000 0.0000 Li
0.5000 0.5000 0.2816 Mo
0.0000 0.0000 0.5051 Pt
0.5000 0.5000 0.8024 Pt
```

excess energy over the best structure of this formula in the dataset = 39.3 kJ per mole of atoms
E_form = -0.129 eV per atom

=====

No. 6
VASP calculation (SCAN) on ScSi3As at its PBEsol-relaxed geometry.

Cell and atoms, written as POSCAR:
```
ScSi3As
1.0
4.9157 0.0000 0.0000
0.0000 4.9157 0.0000
0.0000 0.0000 4.9157
Sc Si As
1 3 1
direct
0.0000 0.0000 0.0000 Sc
0.0000 0.0000 0.5000 Si
0.0000 0.5000 0.0000 Si
0.5000 0.0000 0.0000 Si
0.5000 0.5000 0.5000 As
```

formation energy from raw total energies = 1.28 eV per atom

=====

No. 7
VASP calculation (SCAN) on KBa2Cd2 at its PBEsol-relaxed geometry.

Cell and atoms, written as POSCAR:
```
KBa2Cd2
1.0
9.6194 0.0000 0.0000
0.0000 9.6194 0.0000
0.0000 0.0000 4.4334
K Ba Cd
2 4 4
direct
0.0000 0.0000 0.0000 K
0.5000 0.5000 0.0000 K
0.1566 0.3434 0.5000 Ba
0.3434 0.8434 0.5000 Ba
0.6566 0.1566 0.5000 Ba
0.8434 0.6566 0.5000 Ba
0.1298 0.6298 0.0000 Cd
0.3702 0.1298 0.0000 Cd
0.6298 0.8702 0.0000 Cd
0.8702 0.3702 0.0000 Cd
```

E_form = -0.222 eV per atom

=====

No. 8
VASP calculation (SCAN) on SrMo2Os at its PBEsol-relaxed geometry.

Cell and atoms, written as POSCAR:
```
SrMo2Os
1.0
2.7241 -4.8385 0.0000
2.7241 4.8385 0.0000
0.0000 0.0000 2.6637
Sr Mo Os
1 2 1
direct
0.0000 0.0000 0.0000 Sr
0.0000 0.5000 0.5000 Mo
0.5000 0.0000 0.5000 Mo
0.5000 0.5000 0.0000 Os
```

excess energy over the best structure of this formula in the dataset = 0.0 kJ per mole of atoms
E_form = 1.175 eV per atom

=====

No. 9
VASP calculation (SCAN) on Ru at its PBEsol-relaxed geometry.

Cell and atoms, written as POSCAR:
```
Ru
1.0
2.6854 0.0000 0.0000
-1.3427 2.3257 0.0000
0.0000 0.0000 4.2535
Ru
2
direct
0.3333 0.6667 0.2500 Ru
0.6667 0.3333 0.7500 Ru
```

excess energy over the best structure of this formula in the dataset = 0.0 kJ per mole of atoms
E_form = 0.000 eV per atom

=====

No. 10
VASP calculation (SCAN) on NiH3Ir at its PBEsol-relaxed geometry.

Cell and atoms, written as POSCAR:
```
NiH3Ir
1.0
3.3679 0.0000 0.0000
0.0000 3.3679 0.0000
0.0000 0.0000 3.3679
Ni H Ir
1 3 1
direct
0.0000 0.0000 0.0000 Ni
0.0000 0.5000 0.5000 H
0.5000 0.0000 0.5000 H
0.5000 0.5000 0.0000 H
0.5000 0.5000 0.5000 Ir
```

final energy = -95.97 eV/cell

=====

No. 11
VASP calculation (SCAN) on Zr2OsBr at its PBEsol-relaxed geometry.

Cell and atoms, written as POSCAR:
```
Zr2OsBr
1.0
0.0000 3.3280 3.3280
3.3280 0.0000 3.3280
3.3280 3.3280 0.0000
Zr Os Br
2 1 1
direct
0.0000 0.0000 0.0000 Zr
0.2500 0.2500 0.2500 Zr
0.7500 0.7500 0.7500 Os
0.5000 0.5000 0.5000 Br
```

excess energy over the best structure of this formula in the dataset = 120.9 kJ per mole of atoms
formation energy from raw total energies = 0.59 eV per atom

=====

No. 12
VASP calculation (SCAN) on SrZnP at its PBEsol-relaxed geometry.

Cell and atoms, written as POSCAR:
```
SrZnP
1.0
-1.7490 1.7490 5.2383
1.7490 -1.7490 5.2383
1.7490 1.7490 -5.2383
Sr Zn P
1 1 1
direct
0.0000 0.0000 0.0000 Sr
0.7085 0.7085 0.0000 Zn
0.2993 0.2993 0.0000 P
```

E_form = -0.311 eV per atom

=====

Record order is preserved below.
Density of states at the Fermi level: 0.129 0.566 1.701 0.613 0.435 0.775 0.970 0.876 0.683 0.396 0.954 0.518 states/eV/atom